A relaxed structure of Ca3TaI. Source: the Alexandria database, functional GGA-PBE.

Geometry as extended XYZ:
```
5
Lattice="5.7591 0.0000 0.0000 0.0000 5.7591 0.0000 0.0000 0.0000 5.7591" Properties=species:S:1:pos:R:3 pbc="T T T"
I 0.0000 0.0000 0.0000
Ca 0.0000 2.8796 0.0000
Ca 0.0000 0.0000 2.8796
Ca 2.8796 0.0000 0.0000
Ta 2.8796 2.8796 2.8796
```

Summary:
* energy relative to the lowest polymorph listed for this composition: 0.098 eV per atom
* SG: No. 221
* raw formation energy: 0.83 eV per atom
* total magnetization: 4.0 μB/cell


A relaxed structure of CaTaTe2I. Source: the Alexandria database, functional GGA-PBE.

Geometry as extended XYZ:
```
5
Lattice="5.4860 0.0000 0.0000 0.0000 5.4860 0.0000 0.0000 0.0000 5.5899" Properties=species:S:1:pos:R:3 pbc="T T T"
I 0.0000 0.0000 2.7949
Ca 2.7430 2.7430 2.7949
Te 0.0000 2.7430 0.0000
Te 2.7430 0.0000 0.0000
Ta 0.0000 0.0000 0.0000
```

Summary:
* energy relative to the lowest polymorph listed for this composition: 0.000 eV per atom
* SG: No. 123
* raw formation energy: -0.18 eV per atom
* total magnetization: 0.5 μB/cell


A relaxed structure of Ca2ZrTaI. Source: the Alexandria database, functional GGA-PBE.

Geometry as extended XYZ:
```
5
Lattice="-0.7186 -3.5655 4.7511 4.8162 -1.1348 -0.1231 1.1780 4.6051 3.6342" Properties=species:S:1:pos:R:3 pbc="T T T"
I 2.6378 -0.0476 4.1311
Ca 0.5890 2.3026 1.8171
Ca -0.3593 -1.7828 2.3755
Zr 2.4081 -0.5674 -0.0616
Ta 0.0000 0.0000 0.0000
```

Summary:
* SG: No. 123
* raw formation energy: 0.67 eV per atom
* total magnetization: 0.0 μB/cell


A relaxed structure of Ca2TbI6. Source: the Alexandria database, functional GGA-PBE.

Geometry as extended XYZ:
```
9
Lattice="-3.7542 -0.2932 -2.1866 5.7661 -4.4692 -4.9649 -4.3180 -6.7902 8.3239" Properties=species:S:1:pos:R:3 pbc="T T T"
Ca -4.1726 -7.3136 3.8088
Ca 1.8668 -4.2390 -2.6365
Tb -2.1590 -3.3951 4.1619
I -1.4342 -8.8257 3.6458
I -0.8716 -2.7268 -2.4735
I 0.8711 -6.0393 -5.0216
I -3.1494 -5.1398 1.7606
I -3.1771 -5.5133 6.1939
I 0.8434 -6.4127 -0.5883
```

Summary:
* SG: No. 12
* raw formation energy: -1.45 eV per atom
* total magnetization: 0.7 μB/cell


A relaxed structure of Ca2TbI. Source: the Alexandria database, functional GGA-PBE.

Geometry as extended XYZ:
```
4
Lattice="-0.2083 -1.0644 -3.6438 -2.4915 -2.7150 0.9355 -7.4767 6.3676 -1.4327" Properties=species:S:1:pos:R:3 pbc="T T T"
I -1.3499 -1.8897 -1.3542
Ca -5.6973 4.8522 -1.0917
Ca -1.7794 1.5154 -0.3410
Tb -5.0882 1.2941 -2.0705
```

Summary:
* energy relative to the lowest polymorph listed for this composition: 0.041 eV per atom
* SG: No. 123
* raw formation energy: -0.41 eV per atom
* total magnetization: 0.5 μB/cell


A relaxed structure of CaTbI. Source: the Alexandria database, functional GGA-PBE.

Geometry as extended XYZ:
```
6
Lattice="-0.9513 3.3132 4.7262 -2.1677 -2.8828 -2.0355 4.9387 -8.7431 7.1232" Properties=species:S:1:pos:R:3 pbc="T T T"
Ca -0.5517 1.6213 2.3725
Ca 1.2467 -4.9388 3.7131
Tb 0.0028 -1.8996 4.9524
Tb 1.5595 -4.6554 7.1975
I 2.5684 -7.2764 5.6179
I -0.0731 -2.6002 1.8081
```

Summary:
* SG: No. 38
* raw formation energy: -0.37 eV per atom
* total magnetization: 0.0 μB/cell


A relaxed structure of CaTbI6. Source: the Alexandria database, functional GGA-PBE.

Geometry as extended XYZ:
```
8
Lattice="7.7127 0.0119 0.0137 3.8491 6.6780 0.0493 3.8486 2.2537 6.7667" Properties=species:S:1:pos:R:3 pbc="T T T"
Ca 0.0000 0.0000 0.0000
Tb 7.7052 4.4717 3.4148
I 5.1541 4.5757 5.0746
I 8.8803 2.2298 5.1106
I 6.3736 2.3149 1.7183
I 6.5302 6.7137 1.7191
I 10.2564 4.3678 1.7550
I 9.0368 6.6286 5.1113
```

Summary:
* SG: No. 2
* raw formation energy: -1.16 eV per atom
* total magnetization: 0.0 μB/cell


A relaxed structure of Ca2TbI. Source: the Alexandria database, functional GGA-PBE.

Geometry as extended XYZ:
```
4
Lattice="-2.3784 -1.5046 2.6952 1.1433 -3.0677 2.1134 3.7875 5.1672 9.0440" Properties=species:S:1:pos:R:3 pbc="T T T"
I 0.0000 0.0000 0.0000
Ca 2.0058 0.5920 10.5516
Ca 0.5466 0.0029 3.3010
Tb 1.2762 0.2974 6.9263
```

Summary:
* energy relative to the lowest polymorph listed for this composition: 0.000 eV per atom
* SG: No. 166
* raw formation energy: -0.45 eV per atom
* total magnetization: 0.0 μB/cell


A relaxed structure of CaTbTlI6. Source: the Alexandria database, functional GGA-PBE.

Geometry as extended XYZ:
```
18
Lattice="-1.3500 -7.6202 1.9632 7.2990 2.3043 -2.2712 3.5189 3.1003 14.4540" Properties=species:S:1:pos:R:3 pbc="T T T"
Ca 5.2957 -0.2288 2.7537
Ca 4.1722 -1.9868 11.3922
Tb 2.4127 -3.5369 4.1652
Tb 7.0552 1.3214 9.9807
Tl 0.0000 0.0000 0.0000
Tl 1.7595 1.5502 7.2270
I 4.2037 -3.0017 1.7434
I 1.7679 -6.3102 3.0461
I 8.9759 1.4919 7.6056
I 7.7000 4.0946 11.0998
I 3.4311 -0.8486 5.2116
I 4.5513 -4.9655 5.8219
I 9.4377 0.1726 11.5180
I 0.4920 -3.7075 6.5403
I 4.9166 2.7500 8.3241
I 0.0302 -2.3882 2.6279
I 6.0368 -1.3670 8.9344
I 5.2642 0.7861 12.4025
```

Summary:
* SG: No. 163
* raw formation energy: -1.31 eV per atom
* total magnetization: 0.0 μB/cell


A relaxed structure of CaTcI2. Source: the Alexandria database, functional GGA-PBE.

Geometry as extended XYZ:
```
4
Lattice="0.0000 3.7422 3.7422 3.7422 0.0000 3.7422 3.7422 3.7422 0.0000" Properties=species:S:1:pos:R:3 pbc="T T T"
I 1.8711 1.8711 1.8711
I 5.6134 5.6134 5.6134
Ca 0.0000 0.0000 0.0000
Tc 3.7422 3.7422 3.7422
```

Summary:
* energy relative to the lowest polymorph listed for this composition: 0.000 eV per atom
* SG: No. 225
* raw formation energy: 0.09 eV per atom
* total magnetization: 3.0 μB/cell


A relaxed structure of CaTcI2. Source: the Alexandria database, functional GGA-PBE.

Geometry as extended XYZ:
```
8
Lattice="5.5994 0.0000 0.0000 0.0000 5.5994 0.0000 2.7997 2.7997 8.6070" Properties=species:S:1:pos:R:3 pbc="T T T"
I 4.4318 1.3999 2.1517
I 1.1676 4.1996 2.1517
I 4.1996 3.9673 6.4552
I 6.9993 7.2315 6.4552
Ca 2.7997 2.7997 0.0000
Ca 2.7997 5.5994 4.3035
Tc 0.0000 0.0000 0.0000
Tc 5.5994 2.7997 4.3035
```

Summary:
* energy relative to the lowest polymorph listed for this composition: 0.055 eV per atom
* SG: No. 122
* raw formation energy: 0.14 eV per atom
* total magnetization: 6.0 μB/cell


A relaxed structure of CaTcI3. Source: the Alexandria database, functional GGA-PBE.

Geometry as extended XYZ:
```
5
Lattice="5.5261 0.0000 0.0000 0.0000 5.5261 0.0000 0.0000 0.0000 5.5261" Properties=species:S:1:pos:R:3 pbc="T T T"
I 0.0000 2.7630 0.0000
I 0.0000 0.0000 2.7630
I 2.7630 0.0000 0.0000
Ca 2.7630 2.7630 2.7630
Tc 0.0000 0.0000 0.0000
```

Summary:
* energy relative to the lowest polymorph listed for this composition: 0.000 eV per atom
* SG: No. 221
* raw formation energy: -0.05 eV per atom
* total magnetization: 2.1 μB/cell